DFT (PBE) results for crystalline CsAg2PdCl6 at its relaxed geometry.

a = 7.567 Å, b = 7.138 Å, c = 9.546 Å
α = 52.92°, β = 47.72°, γ = 58.91°
Sites, in units of the cell vectors:
Cs: 0.815 0.831 0.693
Ag: 0.486 0.461 0.370
Ag: 0.936 0.069 0.979
Pd: 0.337 0.336 0.000
Cl: 0.505 0.258 0.214
Cl: 0.361 0.910 0.162
Cl: 0.927 0.379 0.265
Cl: 0.282 0.759 0.840
Cl: 0.754 0.314 0.736
Cl: 0.257 0.343 0.758

Properties
Energy = -3.005 eV per atom
Space-group type = P1
Spin magnetization = 0.93 μB/cell